A geometry-optimized ScTa2Pt structure, computed with PBE.

Lattice parameters (Å, degrees): 5.4987 9.2427 2.8424 90.00 90.00 90.00
With the nearest neighbours (Å) after each atom.
Space group Cmmm (No. 65)
Asymmetric unit:
Sc  0.0000  0.0000  0.0000 x2  2 Pt 2.75, 2 Sc 2.84, 8 Ta 3.04
Ta  0.2500  0.2500  0.5000 x4  4 Ta 2.75-2.84, 4 Sc 3.04, 4 Pt 3.04
Pt  0.0000  0.5000  0.0000 x2  2 Sc 2.75, 2 Pt 2.84, 8 Ta 3.04

## Properties
The total DFT energy (no corrections) is -9.16 eV/atom. The calculation puts the formation energy at -141 meV per atom. The energy relative to the lowest polymorph listed for this composition is 0.91 eV per formula unit. The calculation puts the density of states at the Fermi level at 5.0 states/eV/f.u.

A geometry-optimized ScTa3Pt structure, computed with PBE.

Lattice parameters (Å, degrees): 4.6552 4.6552 4.6552 90.00 90.00 90.00
With the nearest neighbours (Å) after each atom.
Space group Pm-3m (No. 221)
Asymmetric unit:
Sc  0.0000  0.0000  0.0000 x1  6 Ta 2.33
Ta  0.0000  0.0000  0.5000 x3  2 Sc 2.33
Pt  0.5000  0.5000  0.5000 x1  12 Ta 3.29

## Properties
The total DFT energy (no corrections) is -7.77 eV/atom. The calculation puts the formation energy at 1812 meV per atom. The energy relative to the lowest polymorph listed for this composition is 4.27 eV per formula unit. The calculation puts the density of states at the Fermi level at 7.3 states/eV/f.u.

A geometry-optimized ScTa2Pt structure, computed with PBE.

Lattice parameters (Å, degrees): 2.9734 2.9734 28.9457 90.00 90.00 120.00
With the nearest neighbours (Å) after each atom.
Space group R-3m (No. 166, hexagonal axes)
Asymmetric unit:
Sc  0.0000  0.0000  0.0000 x3  6 Sc 2.97, 6 Ta 3.08
Ta  0.0000  0.0000  0.2451 x6  3 Pt 2.85, 6 Ta 2.97, 3 Sc 3.08
Pt  0.0000  0.0000  0.5000 x3  6 Ta 2.85, 6 Pt 2.97

## Properties
The total DFT energy (no corrections) is -9.08 eV/atom. The calculation puts the formation energy at -56 meV per atom. The energy relative to the lowest polymorph listed for this composition is 1.25 eV per formula unit. The calculation puts the density of states at the Fermi level at 4.9 states/eV/f.u.

A geometry-optimized ScTaPt3 structure, computed with PBE.

Lattice parameters (Å, degrees): 4.8665 4.8665 4.8665 90.00 90.00 90.00
With the nearest neighbours (Å) after each atom.
Space group Pm-3m (No. 221)
Asymmetric unit:
Sc  0.0000  0.0000  0.0000 x1  12 Pt 3.44
Ta  0.5000  0.5000  0.5000 x1  6 Pt 2.43
Pt  0.0000  0.5000  0.5000 x3  2 Ta 2.43

## Properties
The total DFT energy (no corrections) is -7.01 eV/atom. The calculation puts the formation energy at 251 meV per atom. The energy relative to the lowest polymorph listed for this composition is 0.00 eV per formula unit. The calculation puts the density of states at the Fermi level at 4.0 states/eV/f.u.

A geometry-optimized ScTa2Pt structure, computed with PBE.

Lattice parameters (Å, degrees): 10.3122 2.9035 5.3476 90.00 112.52 90.00
With the nearest neighbours (Å) after each atom.
Space group Cm (No. 8)
Asymmetric unit:
Sc  0.0000  0.0000  0.0000 x2  3 Pt 2.77-2.86, 2 Sc 2.90, 2 Ta 2.98
Ta  0.0485  0.5000  0.5142 x2  2 Pt 2.82, 5 Ta 2.84-2.90, 2 Sc 2.98
Ta  0.2937  0.5000  0.3929 x2  2 Pt 2.81, 5 Ta 2.84-2.90, 1 Sc 3.13
Pt  0.2592  0.0000  0.9216 x2  3 Sc 2.77-2.86, 4 Ta 2.81-2.82, 2 Pt 2.90

## Properties
The total DFT energy (no corrections) is -9.30 eV/atom. The calculation puts the formation energy at -282 meV per atom. The energy relative to the lowest polymorph listed for this composition is 0.34 eV per formula unit. The calculation puts the density of states at the Fermi level at 3.8 states/eV/f.u.

A geometry-optimized ScTa2Pt structure, computed with PBE.

Lattice parameters (Å, degrees): 2.9310 2.9310 8.5647 90.00 90.00 90.00
With the nearest neighbours (Å) after each atom.
Space group P4/mmm (No. 123)
Asymmetric unit:
Sc  0.0000  0.0000  0.0000 x1  4 Sc 2.93, 8 Ta 3.09
Ta  0.5000  0.5000  0.2682 x2  4 Pt 2.87, 4 Ta 2.93, 4 Sc 3.09
Pt  0.0000  0.0000  0.5000 x1  8 Ta 2.87, 4 Pt 2.93

## Properties
The total DFT energy (no corrections) is -9.20 eV/atom. The calculation puts the formation energy at -183 meV per atom. The energy relative to the lowest polymorph listed for this composition is 0.74 eV per formula unit. The calculation puts the density of states at the Fermi level at 3.9 states/eV/f.u.

A geometry-optimized ScTaPt2 structure, computed with PBE.

Lattice parameters (Å, degrees): 9.7510 2.8914 4.9549 90.00 97.66 90.00
With the nearest neighbours (Å) after each atom.
Space group Cm (No. 8)
Asymmetric unit:
Sc  0.0000  0.0000  0.0000 x2  7 Pt 2.72-2.88, 2 Sc 2.89, 1 Ta 3.03
Ta  0.2688  0.5000  0.3531 x2  7 Pt 2.72-2.90, 2 Ta 2.89, 1 Sc 3.03
Pt  0.0113  0.5000  0.5049 x2  3 Ta 2.72-2.79, 4 Sc 2.86-2.88, 2 Pt 2.89
Pt  0.2570  0.0000  0.8441 x2  3 Sc 2.72-2.80, 4 Ta 2.85-2.90, 2 Pt 2.89

## Properties
The total DFT energy (no corrections) is -8.33 eV/atom. The calculation puts the formation energy at -761 meV per atom. The calculation puts the density of states at the Fermi level at 3.6 states/eV/f.u.

A geometry-optimized Sc2TaPt structure, computed with PBE.

Lattice parameters (Å, degrees): 3.0789 3.0789 8.0645 90.00 90.00 90.00
With the nearest neighbours (Å) after each atom.
Space group P4/mmm (No. 123)
Asymmetric unit:
Sc  0.0000  0.0000  0.2291 x2  4 Pt 2.86, 4 Sc 3.08, 4 Ta 3.08
Ta  0.5000  0.5000  0.5000 x1  4 Ta 3.08, 8 Sc 3.08
Pt  0.5000  0.5000  0.0000 x1  8 Sc 2.86, 4 Pt 3.08

## Properties
The total DFT energy (no corrections) is -8.13 eV/atom. The calculation puts the formation energy at -492 meV per atom. The energy relative to the lowest polymorph listed for this composition is 0.00 eV per formula unit. The calculation puts the density of states at the Fermi level at 3.3 states/eV/f.u.